Entry 1:
A crystal of MgCuNi2Rh relaxed with PBEsol, computed with meta-GGA SCAN.

* space group: P4/mmm
* D(E_F): 3.17 states/eV/f.u.
* E_form: 1.362 eV per atom
* energy: -15.90 eV/atom

POSCAR file:
```
MgCuNi2Rh
1.0
4.149 0.000 0.000
0.000 4.149 0.000
0.000 0.000 4.214
Mg Cu Ni Rh
1 1 2 1
Direct
0.000 0.000 0.000
0.000 0.000 0.500
0.000 0.500 0.000
0.500 0.000 0.000
0.500 0.500 0.500
```


Entry 2:
A crystal of MgCu3NiSe4 relaxed with PBEsol, computed with meta-GGA SCAN.

* space group: P-43m
* D(E_F): 6.29 states/eV/f.u.
* energy: -16.68 eV/atom
* formation energy (no corrections): -337.0 meV/atom

POSCAR file:
```
MgCu3NiSe4
1.0
5.612 0.000 0.000
0.000 5.612 0.000
0.000 0.000 5.612
Mg Cu Ni Se
1 3 1 4
Direct
0.000 0.000 0.000
0.000 0.500 0.500
0.500 0.000 0.500
0.500 0.500 0.000
0.500 0.500 0.500
0.260 0.260 0.740
0.260 0.740 0.260
0.740 0.260 0.260
0.740 0.740 0.740
```


Entry 3:
A crystal of MgCu3O4 relaxed with PBEsol, computed with meta-GGA SCAN.

* space group: Pmm2
* D(E_F): 2.63 states/eV/f.u.
* energy: -10.69 eV/atom
* formation energy (no corrections): -1252.4 meV/atom

POSCAR file:
```
MgCu3O4
1.0
3.989 0.000 0.000
0.000 18.552 0.000
0.000 0.000 3.178
Mg Cu O
3 9 12
Direct
0.000 0.000 0.000
0.500 0.250 0.743
0.500 0.750 0.743
0.000 0.168 0.203
0.000 0.333 0.197
0.000 0.500 0.036
0.000 0.667 0.197
0.000 0.832 0.203
0.500 0.082 0.539
0.500 0.418 0.565
0.500 0.582 0.565
0.500 0.918 0.539
0.000 0.077 0.492
0.000 0.250 0.848
0.000 0.421 0.519
0.000 0.579 0.519
0.000 0.750 0.848
0.000 0.923 0.492
0.500 0.000 0.890
0.500 0.173 0.250
0.500 0.329 0.262
0.500 0.500 0.909
0.500 0.671 0.262
0.500 0.827 0.250
```


Entry 4:
A crystal of Mg9CuO10 relaxed with PBEsol, computed with meta-GGA SCAN.

* space group: C2/m
* D(E_F): 0.20 states/eV/f.u.
* energy: -8.88 eV/atom
* formation energy (no corrections): -2764.5 meV/atom

POSCAR file:
```
Mg9CuO10
1.0
6.487 -1.493 0.000
6.487 1.493 0.000
-2.042 0.000 9.676
Mg Cu O
9 1 10
Direct
0.000 0.000 0.000
0.099 0.099 0.301
0.197 0.197 0.600
0.300 0.300 0.899
0.400 0.400 0.199
0.600 0.600 0.801
0.700 0.700 0.101
0.803 0.803 0.400
0.901 0.901 0.699
0.500 0.500 0.500
0.051 0.051 0.654
0.150 0.150 0.951
0.250 0.250 0.251
0.349 0.349 0.550
0.450 0.450 0.850
0.550 0.550 0.150
0.651 0.651 0.450
0.750 0.750 0.749
0.850 0.850 0.049
0.949 0.949 0.346
```


Entry 5:
A crystal of Mg7Cu2O9 relaxed with PBEsol, computed with meta-GGA SCAN.

* space group: C2/m
* D(E_F): 4.70 states/eV/f.u.
* energy: -9.20 eV/atom
* formation energy (no corrections): -2460.0 meV/atom

POSCAR file:
```
Mg7Cu2O9
1.0
7.740 -1.491 0.000
7.740 1.491 0.000
-0.024 0.000 7.284
Mg Cu O
7 2 9
Direct
0.000 0.000 0.000
0.224 0.224 0.669
0.334 0.334 0.997
0.445 0.445 0.335
0.555 0.555 0.665
0.666 0.666 0.003
0.776 0.776 0.331
0.111 0.111 0.334
0.889 0.889 0.666
0.000 0.000 0.500
0.111 0.111 0.834
0.224 0.224 0.164
0.333 0.333 0.497
0.446 0.446 0.835
0.554 0.554 0.165
0.667 0.667 0.503
0.776 0.776 0.836
0.889 0.889 0.166
```


Entry 6:
A crystal of Mg4CuO5 relaxed with PBEsol, computed with meta-GGA SCAN.

* space group: I4/mmm
* D(E_F): 0.85 states/eV/f.u.
* energy: -9.16 eV/atom
* formation energy (no corrections): -2534.5 meV/atom

POSCAR file:
```
Mg4CuO5
1.0
-1.491 1.491 10.493
1.491 -1.491 10.493
1.491 1.491 -10.493
Mg Cu O
4 1 5
Direct
0.098 0.098 0.000
0.300 0.300 0.000
0.700 0.700 0.000
0.902 0.902 0.000
0.500 0.500 0.000
0.000 0.000 0.000
0.200 0.200 0.000
0.400 0.400 0.000
0.600 0.600 0.000
0.800 0.800 0.000
```


Entry 7:
A crystal of MgCu3O relaxed with PBEsol, computed with meta-GGA SCAN.

* space group: Pm-3m
* D(E_F): 1.74 states/eV/f.u.
* energy: -9.80 eV/atom
* formation energy (no corrections): 1556.3 meV/atom

POSCAR file:
```
MgCu3O
1.0
4.405 0.000 0.000
0.000 4.405 0.000
0.000 0.000 4.405
Mg Cu O
1 3 1
Direct
0.000 0.000 0.000
0.000 0.000 0.500
0.000 0.500 0.000
0.500 0.000 0.000
0.500 0.500 0.500
```


Entry 8:
A crystal of Mg4CuO5 relaxed with PBEsol, computed with meta-GGA SCAN.

* space group: Immm
* D(E_F): 3.01 states/eV/f.u.
* energy: -9.14 eV/atom
* formation energy (no corrections): -2518.3 meV/atom

POSCAR file:
```
Mg4CuO5
1.0
-1.494 2.097 7.446
1.494 -2.097 7.446
1.494 2.097 -7.446
Mg Cu O
4 1 5
Direct
0.099 0.099 0.000
0.300 0.300 0.000
0.700 0.700 0.000
0.901 0.901 0.000
0.500 0.500 0.000
0.000 0.500 0.500
0.200 0.700 0.500
0.398 0.898 0.500
0.602 0.102 0.500
0.800 0.300 0.500
```


Entry 9:
A crystal of MgCu3O relaxed with PBEsol, computed with meta-GGA SCAN.

* space group: Pm-3m
* D(E_F): 2.77 states/eV/f.u.
* energy: -11.36 eV/atom
* formation energy (no corrections): -3.8 meV/atom

POSCAR file:
```
MgCu3O
1.0
4.018 0.000 0.000
0.000 4.018 0.000
0.000 0.000 4.018
Mg Cu O
1 3 1
Direct
0.000 0.000 0.000
0.000 0.500 0.500
0.500 0.000 0.500
0.500 0.500 0.000
0.500 0.500 0.500
```


Entry 10:
A crystal of MgCuP2O7 relaxed with PBEsol, computed with meta-GGA SCAN.

* space group: P-1
* D(E_F): 0.00 states/eV/f.u.
* energy: -10.04 eV/atom
* formation energy (no corrections): -2348.4 meV/atom

POSCAR file:
```
MgCuP2O7
1.0
6.110 0.000 0.000
0.976 6.180 0.000
1.751 2.258 6.597
Mg Cu P O
2 2 4 14
Direct
0.058 0.216 0.305
0.942 0.784 0.695
0.334 0.409 0.723
0.666 0.591 0.277
0.162 0.711 0.265
0.396 0.863 0.827
0.604 0.137 0.173
0.838 0.289 0.735
0.008 0.439 0.749
0.052 0.871 0.386
0.248 0.879 0.044
0.258 0.715 0.769
0.353 0.550 0.352
0.371 0.245 0.141
0.386 0.110 0.690
0.614 0.890 0.310
0.629 0.755 0.859
0.647 0.450 0.648
0.742 0.285 0.231
0.752 0.121 0.956
0.948 0.129 0.614
0.992 0.561 0.251
```